Rb3Ho5S12 | GGA-PBE | relaxed

Lattice parameters (Å, degrees): 14.7653 14.7653 14.7653 109.47 109.47 109.47
Last column: magnetic moment on the atom in μB.
Positions (direct):
Rb (0.3750, 0.6250, 0.2500)  0.01
S (0.8834, 0.8143, 0.7951)  0.29
Rb (0.1250, 0.8750, 0.7500)  0.01
S (0.6857, 0.4808, 0.5691)  0.29
S (0.5884, 0.0192, 0.2049)  0.29
Rb (0.3750, 0.7500, 0.6250)  0.01
S (0.0691, 0.1857, 0.4808)  0.29
Rb (0.8750, 0.7500, 0.1250)  0.01
S (0.7951, 0.3143, 0.8834)  0.29
S (0.6166, 0.9116, 0.4309)  0.29
S (0.0884, 0.7049, 0.5192)  0.29
S (0.4808, 0.7951, 0.9116)  0.29
Ho (0.6250, 0.8750, 0.2500)  0.05
S (0.0192, 0.4309, 0.8143)  0.29
Rb (0.7500, 0.8750, 0.6250)  0.01
S (0.2951, 0.3834, 0.8143)  0.29
S (0.0884, 0.3834, 0.0691)  0.29
Ho (0.3750, 0.2500, 0.1250)  0.05
S (0.3143, 0.5192, 0.4309)  0.29
Ho (0.5000, 0.5000, 0.5000)  0.01
S (0.5884, 0.5691, 0.8834)  0.29
S (0.0192, 0.5884, 0.7049)  0.29
S (0.1857, 0.0691, 0.9808)  0.29
Ho (0.0000, 0.0000, 0.5000)  0.01
Ho (0.1250, 0.3750, 0.2500)  0.05
Ho (0.8750, 0.2500, 0.6250)  0.05
S (0.3143, 0.7951, 0.3834)  0.29
S (0.5691, 0.9808, 0.6857)  0.29
S (0.3834, 0.0884, 0.5691)  0.29
S (0.1166, 0.1857, 0.2049)  0.29
S (0.2049, 0.6857, 0.1166)  0.29
Rb (0.2500, 0.6250, 0.8750)  0.01
S (0.7049, 0.0884, 0.0192)  0.29
Ho (0.8750, 0.6250, 0.7500)  0.05
S (0.5192, 0.2049, 0.0884)  0.29
Ho (0.2500, 0.3750, 0.6250)  0.05
Ho (0.2500, 0.8750, 0.1250)  0.05
S (0.2049, 0.5192, 0.5884)  0.29
S (0.9116, 0.6166, 0.9309)  0.29
Rb (0.2500, 0.1250, 0.3750)  0.01
Rb (0.6250, 0.2500, 0.3750)  0.01
Ho (0.0000, 0.5000, 0.5000)  0.01
S (0.8834, 0.0691, 0.5884)  0.29
S (0.1857, 0.1166, 0.7049)  0.29
Ho (0.6250, 0.7500, 0.8750)  0.05
Rb (0.7500, 0.3750, 0.1250)  0.01
S (0.9116, 0.2951, 0.4808)  0.29
S (0.8143, 0.9309, 0.0192)  0.29
Ho (0.5000, 0.5000, 0.0000)  0.01
S (0.8143, 0.8834, 0.2951)  0.29
Rb (0.1250, 0.2500, 0.8750)  0.01
S (0.4116, 0.4309, 0.1166)  0.29
S (0.2951, 0.9116, 0.9808)  0.29
Ho (0.3750, 0.1250, 0.7500)  0.05
S (0.9309, 0.1166, 0.9116)  0.29
Ho (0.1250, 0.7500, 0.3750)  0.05
S (0.5192, 0.3143, 0.9309)  0.29
S (0.9808, 0.4116, 0.2951)  0.29
Ho (0.5000, 0.0000, 0.0000)  0.01
Rb (0.6250, 0.3750, 0.7500)  0.01
Ho (0.7500, 0.1250, 0.8750)  0.05
Ho (0.0000, 0.5000, 0.0000)  0.01
S (0.0691, 0.8834, 0.0884)  0.29
S (0.1166, 0.9309, 0.4116)  0.29
Ho (0.7500, 0.6250, 0.3750)  0.05
S (0.9808, 0.5691, 0.1857)  0.29
S (0.4309, 0.0192, 0.3143)  0.29
S (0.6857, 0.2049, 0.6166)  0.29
S (0.6166, 0.7049, 0.6857)  0.29
S (0.7951, 0.4808, 0.4116)  0.29
S (0.5691, 0.5884, 0.3834)  0.29
Rb (0.8750, 0.1250, 0.2500)  0.01
Ho (0.5000, 0.0000, 0.5000)  0.01
Ho (0.0000, 0.0000, 0.0000)  0.01
S (0.7049, 0.6166, 0.1857)  0.29
S (0.4808, 0.6857, 0.0691)  0.29
S (0.3834, 0.2951, 0.3143)  0.29
S (0.9309, 0.8143, 0.5192)  0.29
S (0.4309, 0.4116, 0.6166)  0.29
S (0.4116, 0.9808, 0.7951)  0.29

As for the uncorrected formation energy: -1152.8 meV/atom. As for the calculated volume: 2478.0 Å³ per cell. For the total moment, the calculation gives 6.03 μB per formula unit.